## Ca2La5Pr5 (PBE-GGA)

Data for a relaxed structure of Ca2La5Pr5.

abc: 5.3301 8.3050 11.2954
angles: 72.55 76.35 71.28
Fractional coordinates of all 12 atoms:
Ca 0.9172 0.4149 0.7508
Ca 0.0828 0.5851 0.2492
La 0.8309 0.8389 0.4993
La 0.2452 0.7583 0.7512
La 0.7548 0.2417 0.2488
La 0.1691 0.1611 0.5007
La 0.0000 0.0000 0.0000
Pr 0.5000 0.5000 0.5000
Pr 0.3335 0.3292 0.0038
Pr 0.4124 0.9251 0.2502
Pr 0.5876 0.0749 0.7498
Pr 0.6665 0.6708 0.9962

Results
crystal system: monoclinic
calculated volume: 37.20 A^3/atom
calculated density: 5.503 g/cm3
energy relative to the elements: 0.04 eV/atom
magnetic moment: 0.0 μB/f.u.
E: -4.34 eV/atom

## Ca2LaPr (PBE-GGA)

Data for a relaxed structure of Ca2LaPr.

abc: 6.0318 6.0318 6.0318
angles: 60.00 60.00 60.00
Fractional coordinates of all 4 atoms:
Pr 0.0000 0.0000 0.0000
Ca 0.2500 0.2500 0.2500
Ca 0.7500 0.7500 0.7500
La 0.5000 0.5000 0.5000

Results
crystal system: cubic
calculated volume: 38.79 A^3/atom
calculated density: 3.852 g/cm3
energy relative to the elements: 0.10 eV/atom
magnetic moment: 0.0 μB/f.u.
E: -3.33 eV/atom

## Ca2LaPr (PBE-GGA)

Data for a relaxed structure of Ca2LaPr.

abc: 3.6438 3.6438 13.7074
angles: 82.36 82.36 60.00
Fractional coordinates of all 4 atoms:
Pr 0.0000 0.0000 0.0000
Ca 0.0876 0.0876 0.7372
Ca 0.9124 0.9124 0.2628
La 0.5000 0.5000 0.5000

Results
crystal system: trigonal
calculated volume: 38.94 A^3/atom
calculated density: 3.838 g/cm3
energy relative to the elements: 0.19 eV/atom
magnetic moment: 0.4 μB/f.u.
E: -3.24 eV/atom

## Ca3La3Pr (PBE-GGA)

Data for a relaxed structure of Ca3La3Pr.

abc: 6.0451 10.1838 10.1838
angles: 120.00 90.00 90.00
Fractional coordinates of all 14 atoms:
Ca 0.7500 0.8093 0.7514
Ca 0.7500 0.9421 0.1907
Ca 0.2500 0.7514 0.9421
Ca 0.7500 0.2486 0.0579
Ca 0.2500 0.0579 0.8093
Ca 0.2500 0.1907 0.2486
La 0.7500 0.5079 0.8939
La 0.7500 0.3860 0.4921
La 0.2500 0.8939 0.3860
La 0.7500 0.1061 0.6140
La 0.2500 0.6140 0.5079
La 0.2500 0.4921 0.1061
Pr 0.2500 0.3333 0.6667
Pr 0.7500 0.6667 0.3333

Results
crystal system: hexagonal
calculated volume: 38.78 A^3/atom
calculated density: 4.146 g/cm3
energy relative to the elements: 0.04 eV/atom
magnetic moment: 0.0 μB/f.u.
E: -3.61 eV/atom

## CaLa6Pr12 (PBE-GGA)

Data for a relaxed structure of CaLa6Pr12.

abc: 9.5265 9.5265 9.5265
angles: 107.77 107.77 107.77
Fractional coordinates of all 19 atoms:
Ca 0.0000 0.0000 0.0000
La 0.0761 0.6876 0.0761
La 0.0761 0.0761 0.6876
La 0.6876 0.0761 0.0761
La 0.9239 0.9239 0.3124
La 0.9239 0.3124 0.9239
La 0.3124 0.9239 0.9239
Pr 0.7898 0.2102 0.5000
Pr 0.3911 0.1495 0.3911
Pr 0.3911 0.3911 0.1495
Pr 0.8505 0.6089 0.6089
Pr 0.6089 0.6089 0.8505
Pr 0.6089 0.8505 0.6089
Pr 0.5000 0.7898 0.2102
Pr 0.2102 0.5000 0.7898
Pr 0.2102 0.7898 0.5000
Pr 0.5000 0.2102 0.7898
Pr 0.7898 0.5000 0.2102
Pr 0.1495 0.3911 0.3911

Results
crystal system: trigonal
calculated volume: 37.07 A^3/atom
calculated density: 6.046 g/cm3
energy relative to the elements: 0.20 eV/atom
magnetic moment: 0.0 μB/f.u.
E: -4.48 eV/atom

## CaLaPr3 (PBE-GGA)

Data for a relaxed structure of CaLaPr3.

abc: 6.2466 6.2466 12.6252
angles: 75.68 75.68 60.00
Fractional coordinates of all 10 atoms:
Ca 0.3341 0.3341 0.9978
Ca 0.6659 0.6659 0.0024
La 0.1664 0.1664 0.5009
La 0.8336 0.8336 0.4991
Pr 0.0868 0.4169 0.7417
Pr 0.7546 0.0868 0.7417
Pr 0.5831 0.2454 0.2583
Pr 0.2454 0.9132 0.2583
Pr 0.9132 0.5831 0.2583
Pr 0.4169 0.7546 0.7417

Results
crystal system: trigonal
calculated volume: 40.89 A^3/atom
calculated density: 4.888 g/cm3
energy relative to the elements: 0.33 eV/atom
magnetic moment: 0.0 μB/f.u.
E: -3.93 eV/atom